Crystalline Sc2GeRh at its relaxed geometry. Source: the Alexandria database, functional GGA-PBE.

Cell lengths 4.427, 5.506, 6.586 Å; angles 113.77, 90.00, 90.00 degrees
Atoms (fractional coordinates):
Sc: 0.750 0.230 0.407
Sc: 0.250 0.770 0.593
Sc: 0.250 0.814 0.085
Sc: 0.750 0.186 0.915
Ge: 0.750 0.679 0.298
Ge: 0.250 0.321 0.702
Rh: 0.250 0.352 0.195
Rh: 0.750 0.648 0.805

* SG: P2_1/m
* calculated formation energy: -0.88 eV per atom
* VASP energy: -7.04 eV/atom